# PBE Pm6Ga2Ge, relaxed
# energy relative to the lowest polymorph listed for this composition = 0.00 eV per formula unit
data_Pm6Ga2Ge
_chemical_formula_sum 'Pm6 Ga2 Ge1'
_cell_length_a 8.1491
_cell_length_b 8.1491
_cell_length_c 4.3622
_cell_angle_alpha 90.00
_cell_angle_beta 90.00
_cell_angle_gamma 120.00
_space_group_name_H-M_alt 'P -6 2 m'
_space_group_IT_number 189
_space_group_name_Hall 'P -6 -2'
loop_
_atom_site_label
_atom_site_type_symbol
_atom_site_fract_x
_atom_site_fract_y
_atom_site_fract_z
_atom_site_occupancy
Pm1 Pm 0.0000 0.2687 0.0000 1
Pm2 Pm 0.0000 0.5988 0.5000 1
Ga1 Ga 0.3333 0.6667 0.0000 1
Ge1 Ge 0.0000 0.0000 0.5000 1

***

Computed, not measured: a geometry-optimized Pm4Ga2Ge5 structure at the PBE level of DFT.

Cell and atoms, written as CIF:
```
data_Pm4Ga2Ge5
_chemical_formula_sum 'Pm4 Ga2 Ge5'
_cell_length_a 7.063
_cell_length_b 4.310
_cell_length_c 8.243
_cell_angle_alpha 90.00
_cell_angle_beta 90.48
_cell_angle_gamma 90.00
_space_group_name_H-M_alt 'P 1 2/m 1'
_space_group_IT_number 10
loop_
_space_group_symop_operation_xyz
'x,y,z'
'-x,-y,-z'
'-x,y,-z'
'x,-y,z'
loop_
_atom_site_label
_atom_site_type_symbol
_atom_site_fract_x
_atom_site_fract_y
_atom_site_fract_z
_atom_site_occupancy
Pm1 Pm 0.235 0.000 0.129 1
Pm2 Pm 0.251 0.000 0.622 1
Ga1 Ga 0.090 0.500 0.373 1
Ge1 Ge 0.116 0.500 0.879 1
Ge2 Ge 0.446 0.500 0.345 1
Ge3 Ge 0.500 0.500 0.000 1
```

***

Computed, not measured: a geometry-optimized Pm2Ga4GePt3 structure at the PBE level of DFT.

Cell and atoms, written as CIF:
```
data_Pm2Ga4GePt3
_chemical_formula_sum 'Pm2 Ga4 Ge1 Pt3'
_cell_length_a 4.348
_cell_length_b 4.348
_cell_length_c 10.337
_cell_angle_alpha 90.00
_cell_angle_beta 90.00
_cell_angle_gamma 90.00
_space_group_name_H-M_alt 'P -4 m 2'
_space_group_IT_number 115
loop_
_space_group_symop_operation_xyz
'x,y,z'
'y,-x,-z'
'-x,-y,z'
'-y,x,-z'
'-x,y,z'
'-y,-x,-z'
'x,-y,z'
'y,x,-z'
loop_
_atom_site_label
_atom_site_type_symbol
_atom_site_fract_x
_atom_site_fract_y
_atom_site_fract_z
_atom_site_occupancy
Pm1 Pm 0.000 0.500 0.247 1
Ga1 Ga 0.000 0.000 0.000 1
Ga2 Ga 0.000 0.500 0.638 1
Ga3 Ga 0.500 0.500 0.000 1
Ge1 Ge 0.000 0.000 0.500 1
Pt1 Pt 0.000 0.500 0.873 1
Pt2 Pt 0.500 0.500 0.500 1
```

***

Computed, not measured: a geometry-optimized Pm2GaGe4Pt3 structure at the PBE level of DFT.

Cell and atoms, written as CIF:
```
data_Pm2GaGe4Pt3
_chemical_formula_sum 'Pm2 Ga1 Ge4 Pt3'
_cell_length_a 4.287
_cell_length_b 4.287
_cell_length_c 10.558
_cell_angle_alpha 90.00
_cell_angle_beta 90.00
_cell_angle_gamma 90.00
_space_group_name_H-M_alt 'P -4 m 2'
_space_group_IT_number 115
loop_
_space_group_symop_operation_xyz
'x,y,z'
'y,-x,-z'
'-x,-y,z'
'-y,x,-z'
'-x,y,z'
'-y,-x,-z'
'x,-y,z'
'y,x,-z'
loop_
_atom_site_label
_atom_site_type_symbol
_atom_site_fract_x
_atom_site_fract_y
_atom_site_fract_z
_atom_site_occupancy
Pm1 Pm 0.000 0.500 0.249 1
Ga1 Ga 0.000 0.000 0.500 1
Ge1 Ge 0.000 0.000 0.000 1
Ge2 Ge 0.000 0.500 0.640 1
Ge3 Ge 0.500 0.500 0.000 1
Pt1 Pt 0.000 0.500 0.872 1
Pt2 Pt 0.500 0.500 0.500 1
```

***

Computed, not measured: a geometry-optimized PmGaGePt structure at the PBE level of DFT.

Cell and atoms, written as CIF:
```
data_PmGaGePt
_chemical_formula_sum 'Pm4 Ga4 Ge4 Pt4'
_cell_length_a 6.768
_cell_length_b 6.768
_cell_length_c 6.768
_cell_angle_alpha 90.00
_cell_angle_beta 90.00
_cell_angle_gamma 90.00
_space_group_name_H-M_alt 'F -4 3 m'
_space_group_IT_number 216
_space_group_name_Hall 'F -4 2 3'
loop_
_atom_site_label
_atom_site_type_symbol
_atom_site_fract_x
_atom_site_fract_y
_atom_site_fract_z
_atom_site_occupancy
Pm1 Pm 0.000 0.000 0.000 1
Ga1 Ga 0.250 0.250 0.250 1
Ge1 Ge 0.250 0.250 0.750 1
Pt1 Pt 0.000 0.000 0.500 1
```

***

Computed, not measured: a geometry-optimized PmGaGePt3 structure at the PBE level of DFT.

Cell and atoms, written as CIF:
```
data_PmGaGePt3
_chemical_formula_sum 'Pm4 Ga4 Ge4 Pt12'
_cell_length_a 5.644
_cell_length_b 16.050
_cell_length_c 5.673
_cell_angle_alpha 90.00
_cell_angle_beta 90.00
_cell_angle_gamma 90.00
_space_group_name_H-M_alt 'C m c m'
_space_group_IT_number 63
_space_group_name_Hall '-C 2c 2'
loop_
_atom_site_label
_atom_site_type_symbol
_atom_site_fract_x
_atom_site_fract_y
_atom_site_fract_z
_atom_site_occupancy
Pm1 Pm 0.000 0.185 0.250 1
Ga1 Ga 0.000 0.099 0.750 1
Ge1 Ge 0.000 0.406 0.750 1
Pt1 Pt 0.000 0.253 0.750 1
Pt2 Pt 0.249 0.000 0.000 1
```

***

Computed, not measured: a geometry-optimized Pm2Ga4Ge2Pt structure at the PBE level of DFT.

Cell and atoms, written as CIF:
```
data_Pm2Ga4Ge2Pt
_chemical_formula_sum 'Pm4 Ga8 Ge4 Pt2'
_cell_length_a 6.205
_cell_length_b 6.205
_cell_length_c 9.394
_cell_angle_alpha 90.00
_cell_angle_beta 90.00
_cell_angle_gamma 90.00
_space_group_name_H-M_alt 'I 4/m m m'
_space_group_IT_number 139
_space_group_name_Hall '-I 4 2'
loop_
_atom_site_label
_atom_site_type_symbol
_atom_site_fract_x
_atom_site_fract_y
_atom_site_fract_z
_atom_site_occupancy
Pm1 Pm 0.000 0.500 0.250 1
Ga1 Ga 0.212 0.212 0.000 1
Ge1 Ge 0.000 0.000 0.222 1
Pt1 Pt 0.000 0.000 0.500 1
```

***

Computed, not measured: a geometry-optimized Pm2GaGe3Pt4 structure at the PBE level of DFT.

Cell and atoms, written as CIF:
```
data_Pm2GaGe3Pt4
_chemical_formula_sum 'Pm2 Ga1 Ge3 Pt4'
_cell_length_a 4.358
_cell_length_b 4.358
_cell_length_c 10.126
_cell_angle_alpha 90.00
_cell_angle_beta 90.00
_cell_angle_gamma 90.00
_space_group_name_H-M_alt 'P -4 m 2'
_space_group_IT_number 115
loop_
_space_group_symop_operation_xyz
'x,y,z'
'y,-x,-z'
'-x,-y,z'
'-y,x,-z'
'-x,y,z'
'-y,-x,-z'
'x,-y,z'
'y,x,-z'
loop_
_atom_site_label
_atom_site_type_symbol
_atom_site_fract_x
_atom_site_fract_y
_atom_site_fract_z
_atom_site_occupancy
Pm1 Pm 0.000 0.500 0.246 1
Ga1 Ga 0.500 0.500 0.000 1
Ge1 Ge 0.000 0.000 0.000 1
Ge2 Ge 0.000 0.500 0.630 1
Pt1 Pt 0.000 0.000 0.500 1
Pt2 Pt 0.000 0.500 0.871 1
Pt3 Pt 0.500 0.500 0.500 1
```

***

Computed, not measured: a geometry-optimized Pm3Ga2GePt9 structure at the PBE level of DFT.

Cell and atoms, written as CIF:
```
data_Pm3Ga2GePt9
_chemical_formula_sum 'Pm3 Ga2 Ge1 Pt9'
_cell_length_a 6.6052
_cell_length_b 6.6052
_cell_length_c 8.6941
_cell_angle_alpha 90.00
_cell_angle_beta 90.00
_cell_angle_gamma 120.00
_space_group_name_H-M_alt 'P -3 m 1'
_space_group_IT_number 164
_space_group_name_Hall '-P 3 2"'
loop_
_atom_site_label
_atom_site_type_symbol
_atom_site_fract_x
_atom_site_fract_y
_atom_site_fract_z
_atom_site_occupancy
Pm1 Pm 0.0000 0.0000 0.0000 1
Pm2 Pm 0.3333 0.6667 0.7254 1
Ga1 Ga 0.3333 0.6667 0.1906 1
Ge1 Ge 0.0000 0.0000 0.5000 1
Pt1 Pt 0.0000 0.5000 0.0000 1
Pt2 Pt 0.1386 0.2773 0.2820 1
```

***

Computed, not measured: a geometry-optimized Pm3Ga2GeRh9 structure at the PBE level of DFT.

Cell and atoms, written as CIF:
```
data_Pm3Ga2GeRh9
_chemical_formula_sum 'Pm3 Ga2 Ge1 Rh9'
_cell_length_a 6.4733
_cell_length_b 6.4733
_cell_length_c 8.2233
_cell_angle_alpha 90.00
_cell_angle_beta 90.00
_cell_angle_gamma 120.00
_space_group_name_H-M_alt 'P -3 m 1'
_space_group_IT_number 164
_space_group_name_Hall '-P 3 2"'
loop_
_atom_site_label
_atom_site_type_symbol
_atom_site_fract_x
_atom_site_fract_y
_atom_site_fract_z
_atom_site_occupancy
Pm1 Pm 0.0000 0.0000 0.0000 1
Pm2 Pm 0.3333 0.6667 0.6978 1
Ga1 Ga 0.3333 0.6667 0.1821 1
Ge1 Ge 0.0000 0.0000 0.5000 1
Rh1 Rh 0.0000 0.5000 0.0000 1
Rh2 Rh 0.1446 0.2892 0.2939 1
```

***

Computed, not measured: a geometry-optimized Pm2GaGe4Rh3 structure at the PBE level of DFT.

Cell and atoms, written as CIF:
```
data_Pm2GaGe4Rh3
_chemical_formula_sum 'Pm2 Ga1 Ge4 Rh3'
_cell_length_a 4.267
_cell_length_b 4.267
_cell_length_c 10.290
_cell_angle_alpha 90.00
_cell_angle_beta 90.00
_cell_angle_gamma 90.00
_space_group_name_H-M_alt 'P -4 m 2'
_space_group_IT_number 115
loop_
_space_group_symop_operation_xyz
'x,y,z'
'y,-x,-z'
'-x,-y,z'
'-y,x,-z'
'-x,y,z'
'-y,-x,-z'
'x,-y,z'
'y,x,-z'
loop_
_atom_site_label
_atom_site_type_symbol
_atom_site_fract_x
_atom_site_fract_y
_atom_site_fract_z
_atom_site_occupancy
Pm1 Pm 0.000 0.500 0.242 1
Ga1 Ga 0.000 0.000 0.500 1
Ge1 Ge 0.000 0.000 0.000 1
Ge2 Ge 0.000 0.500 0.644 1
Ge3 Ge 0.500 0.500 0.000 1
Rh1 Rh 0.000 0.500 0.879 1
Rh2 Rh 0.500 0.500 0.500 1
```

***

Computed, not measured: a geometry-optimized PmGaGeRh2 structure at the PBE level of DFT.

Cell and atoms, written as CIF:
```
data_PmGaGeRh2
_chemical_formula_sum 'Pm1 Ga1 Ge1 Rh2'
_cell_length_a 4.209
_cell_length_b 4.209
_cell_length_c 6.561
_cell_angle_alpha 90.00
_cell_angle_beta 90.00
_cell_angle_gamma 90.00
_space_group_name_H-M_alt 'P 4 m m'
_space_group_IT_number 99
loop_
_space_group_symop_operation_xyz
'x,y,z'
'-y,x,z'
'-x,-y,z'
'y,-x,z'
'-x,y,z'
'y,x,z'
'x,-y,z'
'-y,-x,z'
loop_
_atom_site_label
_atom_site_type_symbol
_atom_site_fract_x
_atom_site_fract_y
_atom_site_fract_z
_atom_site_occupancy
Pm1 Pm 0.000 0.000 0.000 1
Ga1 Ga 0.500 0.500 0.130 1
Ge1 Ge 0.000 0.000 0.533 1
Rh1 Rh 0.000 0.500 0.342 1
```

***

Calculated DFT formation energy in order - -0.463; -0.743; -0.854; -0.835; -0.539; -0.748; -0.602; -0.955; -0.596; -0.307; -0.760; -0.487 eV/atom
Calculated DFT total energy in order - -43.344; -56.315; -52.889; -57.467; -20.592; -35.003; -42.302; -60.090; -88.226; -95.694; -60.653; -29.531 eV/f.u.